No. 1
USi2HgO8 | PBE-GGA | optimized geometry

Cell: 9.365 5.641 8.629 Å, 90.00 104.61 90.00°
Space group C2/m (No. 12)
Inequivalent atoms, fractional coordinates:
U (0.000, 0.000, 0.000) (multiplicity 2)
Si (0.201, 0.500, 0.210) (multiplicity 4)
Hg (0.000, 0.000, 0.500) (multiplicity 2)
O (0.095, 0.264, 0.165) (multiplicity 8)
O (0.182, 0.000, 0.905) (multiplicity 4)
O (0.217, 0.000, 0.601) (multiplicity 4)

=====

No. 2
Pr6Ni2SeBr3 | PBE-GGA | optimized geometry

Results
Density of states at the Fermi level = 0.754 states/eV/atom

Cell: 7.334 12.644 7.859 Å, 90.00 108.08 90.00°
Space group C2/m (No. 12)
Inequivalent atoms, fractional coordinates:
Pr (0.209, 0.000, 0.200) (multiplicity 4)
Pr (0.247, 0.321, 0.202) (multiplicity 8)
Ni (0.000, 0.167, 0.000) (multiplicity 4)
Se (0.000, 0.500, 0.000) (multiplicity 2)
Br (0.000, 0.000, 0.500) (multiplicity 2)
Br (0.000, 0.341, 0.500) (multiplicity 4)

=====

No. 3
SrSc2Ta | PBE-GGA | optimized geometry

Results
Calculated formation energy = 10.5 kcal/mol of atoms
Density of states at the Fermi level = 1.186 states/eV/atom

Cell: 3.297 4.254 7.865 Å, 90.00 90.00 90.00°
Space group Pmm2 (No. 25)
Inequivalent atoms, fractional coordinates:
Sr (0.000, 0.000, 0.000) (multiplicity 1)
Sc (0.000, 0.000, 0.442) (multiplicity 1)
Sc (0.500, 0.500, 0.655) (multiplicity 1)
Ta (0.500, 0.500, 0.288) (multiplicity 1)

=====

Number 1: magnetic moment 0.0 Bohr magnetons per cell, total energy -7.58 eV/atom. Number 2: magnetic moment 0.0 Bohr magnetons per cell, total energy -5.11 eV/atom. Number 3: magnetic moment 0.0 Bohr magnetons per cell, total energy -6.09 eV/atom.